Material: ErAlAgHg
Method: DFT, PBE-GGA
State: optimized geometry Values from VASP.

Quantum ESPRESSO input file:
```
&SYSTEM
  ibrav = 0, nat = 4, ntyp = 4
/
ATOMIC_SPECIES
Al 26.98 Al.upf
Hg 200.59 Hg.upf
Ag 107.87 Ag.upf
Er 167.26 Er.upf
ATOMIC_POSITIONS angstrom
Al 2.4467 1.4126 0.9989
Hg 4.8934 2.8252 1.9977
Ag 0.0000 0.0000 0.0000
Er 7.3402 4.2378 2.9966
CELL_PARAMETERS angstrom
4.8934 0.0000 0.0000
2.4467 4.2378 0.0000
2.4467 1.4126 3.9955
```

Values from the calculation:
Symmetry = No. 216
ΔE_f = -0.29 eV per atom
Size of the total moment = 0.00 μB/cell
Calculated total energy = -3.16 eV/atom